1.
A plane-wave DFT calculation with GGA-PBEsol was carried out for a relaxed Sb3PN crystal.

abc: 4.6687 4.6687 4.6687
angles: 90.00 90.00 90.00
Closest atoms and distances in Å follow each position.
Space group Pm-3m (No. 221)
Symmetry-distinct sites (fractional):
Sb 0.0000 0.0000 0.5000  2 N 2.33
P 0.5000 0.5000 0.5000  12 Sb 3.30
N 0.0000 0.0000 0.0000  6 Sb 2.33

Computed properties:
ΔE_f (raw) in meV/atom: 703
DFT total energy in eV for the cell shown: -24.5
Mass density in g/cm³: 6.69

=====

2.
A plane-wave DFT calculation with GGA-PBEsol was carried out for a relaxed MgAsPb2 crystal.

abc: 3.7689 3.9414 14.0746
angles: 90.00 90.00 90.00
Closest atoms and distances in Å follow each position.
Space group Immm (No. 71)
Symmetry-distinct sites (fractional):
Mg 0.0000 0.0000 0.0000  4 As 2.73
As 0.0000 0.0000 0.5000  4 Mg 2.73
Pb 0.0000 0.5000 0.1773  2 As 3.13, 2 Mg 3.18, 4 Pb 3.41

Computed properties:
DFT total energy in eV for the cell shown: -30.4
Mass density in g/cm³: 8.16
DFT formation energy in meV/atom: -89

=====

3.
A plane-wave DFT calculation with GGA-PBEsol was carried out for a relaxed Cd3SiSe crystal.

abc: 4.9709 4.9709 4.9709
angles: 90.00 90.00 90.00
Closest atoms and distances in Å follow each position.
Space group Pm-3m (No. 221)
Symmetry-distinct sites (fractional):
Cd 0.0000 0.0000 0.5000  2 Si 2.49
Si 0.0000 0.0000 0.0000  6 Cd 2.49
Se 0.5000 0.5000 0.5000  12 Cd 3.51

Computed properties:
ΔE_f (raw) in meV/atom: 274
DFT total energy in eV for the cell shown: -11.8
Mass density in g/cm³: 6.01

=====

4.
A plane-wave DFT calculation with GGA-PBEsol was carried out for a relaxed BaY2P crystal.

abc: 12.2960 3.7187 6.5765
angles: 90.00 120.53 90.00
Closest atoms and distances in Å follow each position.
Space group Cm (No. 8)
Symmetry-distinct sites (fractional):
Ba 0.0000 0.0000 0.0000  3 P 3.29-3.41, 1 Y 3.66
Y 0.1490 0.5000 0.6457  2 P 2.72
Y 0.3371 0.5000 0.3358  2 P 2.70
P 0.2658 0.0000 0.9927  4 Y 2.70-2.72

Computed properties:
DFT total energy in eV for the cell shown: -47.5
Mass density in g/cm³: 4.44
DFT formation energy in meV/atom: -545

=====

5.
A plane-wave DFT calculation with GGA-PBEsol was carried out for a relaxed Ca2WAu crystal.

abc: 3.1590 3.1590 31.2089
angles: 90.00 90.00 120.00
Closest atoms and distances in Å follow each position.
Space group R3m (No. 160, hexagonal axes)
Symmetry-distinct sites (fractional):
Ca 0.0000 0.0000 0.0000  3 Au 3.03, 6 Ca 3.16
Ca 0.0000 0.0000 0.2246  3 W 3.07, 6 Ca 3.16
W 0.0000 0.0000 0.4787  3 Au 2.79, 3 Ca 3.07
Au 0.0000 0.0000 0.7444  3 W 2.79, 3 Ca 3.03

Computed properties:
DFT total energy in eV for the cell shown: -58.0
Mass density in g/cm³: 8.51
DFT formation energy in meV/atom: 668

=====

6.
A plane-wave DFT calculation with GGA-PBEsol was carried out for a relaxed KScCd2 crystal.

abc: 3.3139 3.3139 9.9108
angles: 90.00 90.00 90.00
Closest atoms and distances in Å follow each position.
Space group P4mm (No. 99)
Symmetry-distinct sites (fractional):
K 0.0000 0.0000 0.0000  4 K 3.31, 4 Cd 3.61
Sc 0.5000 0.5000 0.3423  4 Cd 2.99, 4 Sc 3.31
Cd 0.0000 0.0000 0.5291  4 Sc 2.99, 8 Cd 3.03-3.31
Cd 0.5000 0.5000 0.7230  8 Cd 3.03-3.31

Computed properties:
DFT total energy in eV for the cell shown: -9.6
Mass density in g/cm³: 4.71
DFT formation energy in meV/atom: 126

=====

7.
A plane-wave DFT calculation with GGA-PBEsol was carried out for a relaxed Ag2PCl crystal.

abc: 3.5617 3.1229 13.9586
angles: 90.00 90.00 90.00
Closest atoms and distances in Å follow each position.
Space group Amm2 (No. 38)
Symmetry-distinct sites (fractional):
Ag 0.0000 0.0000 0.0000  4 P 2.56, 1 Cl 2.58
Ag 0.5000 0.0000 0.2128  2 P 2.53, 4 Cl 2.77
P 0.5000 0.0000 0.5705  6 Ag 2.53-2.56
Cl 0.0000 0.0000 0.8151  5 Ag 2.58-2.77

Computed properties:
ΔE_f (raw) in meV/atom: 22
DFT total energy in eV for the cell shown: -28.7
Mass density in g/cm³: 6.04

=====

8.
A plane-wave DFT calculation with GGA-PBEsol was carried out for a relaxed CsOsRh3 crystal.

abc: 4.7548 4.7548 4.7548
angles: 90.00 90.00 90.00
Closest atoms and distances in Å follow each position.
Space group Pm-3m (No. 221)
Symmetry-distinct sites (fractional):
Cs 0.0000 0.0000 0.0000  6 Rh 2.38
Os 0.5000 0.5000 0.5000  12 Rh 3.36
Rh 0.0000 0.0000 0.5000  2 Cs 2.38

Computed properties:
DFT total energy in eV for the cell shown: -22.5
Mass density in g/cm³: 9.76
DFT formation energy in meV/atom: 3023

=====

How do the records compare in density of states at the Fermi level? In the order shown, they have 0.5625; 0.4577; 0.8475; 1.3769; 1.5821; 1.0554; 0.3846; 1.4159 states/eV/atom.